a:
## GdY2In (PBE-GGA)

Data for GdY2In after structural relaxation.

The structure in CIF format:
```
data_GdY2In
_cell_length_a 4.895
_cell_length_b 4.895
_cell_length_c 4.819
_cell_angle_alpha 90.00
_cell_angle_beta 90.00
_cell_angle_gamma 90.00
_space_group_name_H-M_alt 'P 4/m m m'
_space_group_IT_number 123
_space_group_name_Hall '-P 4 2'
loop_
_atom_site_label
_atom_site_type_symbol
_atom_site_fract_x
_atom_site_fract_y
_atom_site_fract_z
_atom_site_occupancy
Gd1 Gd 0.000 0.000 0.000 1
Y1 Y 0.000 0.500 0.500 1
In1 In 0.500 0.500 0.000 1
```

The total magnetization comes out at 8.2 Bohr magnetons per cell. The mass density is 6.468 Mg/m³.

b:
## GdY2In (PBE-GGA)

Data for GdY2In after structural relaxation.

The structure in CIF format:
```
data_GdY2In
_cell_length_a 7.731
_cell_length_b 7.731
_cell_length_c 7.731
_cell_angle_alpha 90.00
_cell_angle_beta 90.00
_cell_angle_gamma 90.00
_space_group_name_H-M_alt 'F m -3 m'
_space_group_IT_number 225
_space_group_name_Hall '-F 4 2 3'
loop_
_atom_site_label
_atom_site_type_symbol
_atom_site_fract_x
_atom_site_fract_y
_atom_site_fract_z
_atom_site_occupancy
Gd1 Gd 0.000 0.000 0.000 1
Y1 Y 0.250 0.250 0.250 1
In1 In 0.000 0.000 0.500 1
```

The total magnetization comes out at 34.3 Bohr magnetons per cell. The mass density is 6.468 Mg/m³.

Most stable to least stable, the ends of the list are a and b.